(1)
VASP calculation (PBE) on a relaxed U2Ga3Au5 crystal.

a b c (Å): 4.5745 6.9697 12.7238
angles (deg): 90.00 100.36 90.00
Last column: nearest neighbours and their distance in Å.
Fractional positions:
Au 0.2906 0.5483 0.5811  3 Ga 2.62-2.74, 2 Au 2.79-2.93
Au 0.2908 0.9685 0.5817  4 Ga 2.60-2.74
Au 0.3969 0.4264 0.7937  3 Ga 2.66-2.77, 1 Au 2.79
Au 0.6031 0.9264 0.2063  3 Ga 2.66-2.77, 1 Au 2.79
Au 0.7094 0.0483 0.4189  3 Ga 2.62-2.74, 2 Au 2.79-2.93
Au 0.0525 0.5323 0.1050  4 Ga 2.66-2.71, 1 Au 2.82
Au 0.7092 0.4685 0.4183  4 Ga 2.60-2.74
Au 0.1200 0.2074 0.2400  2 Ga 2.63-2.67, 1 Au 2.82
Au 0.8800 0.7074 0.7600  2 Ga 2.63-2.67, 1 Au 2.82
Au 0.9475 0.0323 0.8950  4 Ga 2.66-2.71, 1 Au 2.82
Ga 0.9507 0.4211 0.9014  5 Au 2.66-2.71
Ga 0.7759 0.7587 0.5519  7 Au 2.62-2.74
Ga 0.2241 0.2587 0.4481  7 Au 2.62-2.74
Ga 0.0493 0.9211 0.0986  5 Au 2.66-2.71
Ga 0.3934 0.0288 0.7867  4 Au 2.60-2.77
Ga 0.6066 0.5288 0.2133  4 Au 2.60-2.77
U 0.4861 0.7234 0.9721  6 Au 3.04-3.29, 6 Ga 3.10-3.31
U 0.5139 0.2234 0.0279  6 Au 3.04-3.29, 6 Ga 3.10-3.31
U 0.1721 0.7499 0.3441  10 Au 3.12-3.44, 5 Ga 3.21-3.46
U 0.8279 0.2499 0.6559  10 Au 3.12-3.44, 5 Ga 3.21-3.46

Summary:
* V: 19.95 A^3/atom
* crystal system: orthorhombic
* symmetry: Cmc2_1, No. 36
* DOS at the Fermi energy: 14.492 states/eV/f.u.
* total magnetic moment: 4.99 μB per formula unit
* E: -0.1848 Ha/atom

***

(2)
VASP calculation (PBE) on a relaxed MnCu4Ge crystal.

a b c (Å): 4.8641 4.8641 4.8641
angles (deg): 60.00 60.00 60.00
Last column: nearest neighbours and their distance in Å.
Fractional positions:
Ge 0.2500 0.2500 0.2500  12 Cu 2.85, 4 Mn 2.98
Cu 0.6253 0.6253 0.1242  6 Cu 2.43-2.44
Cu 0.6253 0.6253 0.6253  6 Cu 2.43-2.44
Cu 0.1242 0.6253 0.6253  6 Cu 2.43-2.44
Cu 0.6253 0.1242 0.6253  6 Cu 2.43-2.44
Mn 0.0000 0.0000 0.0000  12 Cu 2.85, 4 Ge 2.98

Summary:
* V: 13.56 A^3/atom
* crystal system: cubic
* symmetry: F-43m, No. 216
* DOS at the Fermi energy: 1.722 states/eV/f.u.
* total magnetic moment: 4.67 μB per formula unit
* E: -0.1805 Ha/atom

***

(3)
VASP calculation (PBE) on a relaxed Sr2TaN3 crystal.

a b c (Å): 6.4353 6.4353 12.6734
angles (deg): 89.02 89.02 123.68
Last column: nearest neighbours and their distance in Å.
Fractional positions:
N 0.6158 0.8036 0.4586  1 Ta 1.91
N 0.9934 0.6678 0.3761  1 Ta 1.94
N 0.1964 0.3842 0.0414  1 Ta 1.91
N 0.8036 0.6158 0.9586  1 Ta 1.91
N 0.3322 0.0066 0.1239  1 Ta 1.94
N 0.5017 0.4983 0.2500  2 Ta 1.98
N 0.0066 0.3322 0.6239  1 Ta 1.94
N 0.4983 0.5017 0.7500  2 Ta 1.98
N 0.0815 0.9185 0.7500  2 Ta 2.00
N 0.6678 0.9934 0.8761  1 Ta 1.94
N 0.9185 0.0815 0.2500  2 Ta 2.00
N 0.3842 0.1964 0.5414  1 Ta 1.91
Sr 0.5465 0.9480 0.6394  3 N 2.60-2.65
Sr 0.3872 0.1552 0.9232  6 N 2.60-2.88
Sr 0.8448 0.6128 0.5768  6 N 2.60-2.88
Sr 0.1552 0.3872 0.4232  6 N 2.60-2.88
Sr 0.4535 0.0520 0.3606  3 N 2.60-2.65
Sr 0.0520 0.4535 0.8606  3 N 2.60-2.65
Sr 0.9480 0.5465 0.1394  3 N 2.60-2.65
Sr 0.6128 0.8448 0.0768  6 N 2.60-2.88
Ta 0.2366 0.2324 0.1637  4 N 1.91-2.00
Ta 0.7676 0.7634 0.3363  4 N 1.91-2.00
Ta 0.7634 0.7676 0.8363  4 N 1.91-2.00
Ta 0.2324 0.2366 0.6637  4 N 1.91-2.00

Summary:
* V: 18.19 A^3/atom
* crystal system: monoclinic
* symmetry: C2/c, No. 15
* DOS at the Fermi energy: 0.000 states/eV/f.u.
* total magnetic moment: 0.00 μB per formula unit
* excess energy over the best structure of this formula in the dataset: 0.000 eV/f.u.
* E: -0.2884 Ha/atom

***

(4)
VASP calculation (PBE) on a relaxed AcLa crystal.

a b c (Å): 4.3601 4.3601 4.3601
angles (deg): 90.00 90.00 90.00
Last column: nearest neighbours and their distance in Å.
Fractional positions:
Ac 0.0000 0.0000 0.0000  8 La 3.78
La 0.5000 0.5000 0.5000  8 Ac 3.78

Summary:
* V: 41.44 A^3/atom
* crystal system: cubic
* symmetry: Pm-3m, No. 221
* DOS at the Fermi energy: 4.597 states/eV/f.u.
* total magnetic moment: 0.93 μB per formula unit
* excess energy over the best structure of this formula in the dataset: 0.211 eV/f.u.
* E: -0.1612 Ha/atom

***

(5)
VASP calculation (PBE) on a relaxed ZrReSi2 crystal.

a b c (Å): 8.4306 8.4306 8.4306
angles (deg): 20.67 20.67 20.67
Last column: nearest neighbours and their distance in Å.
Fractional positions:
Re 0.7500 0.7500 0.7500  6 Si 2.52
Si 0.0098 0.0098 0.0098  3 Re 2.52
Si 0.4902 0.4902 0.4902  3 Re 2.52
Zr 0.2500 0.2500 0.2500  6 Si 2.89, 6 Zr 3.03

Summary:
* V: 16.34 A^3/atom
* crystal system: trigonal
* symmetry: R-3m, No. 166
* DOS at the Fermi energy: 2.339 states/eV/f.u.
* total magnetic moment: 0.00 μB per formula unit
* E: -0.2961 Ha/atom

***

(6)
VASP calculation (PBE) on a relaxed YErPu2N4 crystal.

a b c (Å): 3.4750 6.0207 5.9796
angles (deg): 109.60 90.00 90.00
Last column: nearest neighbours and their distance in Å.
Fractional positions:
Pu 0.0000 0.5000 0.5000  6 N 2.42
Pu 0.5000 0.0000 0.5000  6 N 2.44
N 0.0000 0.2508 0.7449  3 Pu 2.42-2.44, 2 Er 2.46, 1 Y 2.48
N 0.5000 0.2550 0.2572  3 Pu 2.42-2.44, 1 Er 2.46, 2 Y 2.48
N 0.5000 0.7450 0.7428  3 Pu 2.42-2.44, 1 Er 2.46, 2 Y 2.48
N 0.0000 0.7492 0.2551  3 Pu 2.42-2.44, 2 Er 2.46, 1 Y 2.48
Y 0.0000 0.0000 0.0000  6 N 2.48
Er 0.5000 0.5000 0.0000  6 N 2.46

Summary:
* V: 14.73 A^3/atom
* crystal system: monoclinic
* symmetry: P2/m, No. 10
* DOS at the Fermi energy: 12.451 states/eV/f.u.
* total magnetic moment: 9.59 μB per formula unit
* E: -0.3900 Ha/atom